No. 1
Entry from Alexandria via LeMat-Bulk: LaAlCr4 at its PBEsol-relaxed geometry (meta-GGA SCAN). Values from VASP.

The structure in Quantum ESPRESSO input format:
```
&SYSTEM
  ibrav = 0, nat = 6, ntyp = 3
/
ATOMIC_SPECIES
Cr 52.00 Cr.upf
La 138.91 La.upf
Al 26.98 Al.upf
ATOMIC_POSITIONS angstrom
Cr 5.009 2.892 3.574
Cr 6.258 2.171 1.535
Cr 5.009 4.334 1.535
Cr 3.761 2.171 1.535
La 7.514 4.338 3.067
Al 0.000 0.000 0.000
CELL_PARAMETERS angstrom
5.009 0.000 0.000
2.505 4.338 0.000
2.505 1.446 4.090
```

Output
Fermi-level density of states (states/eV/atom): 1.25
Total magnetic moment (Bohr magnetons per cell): 0.0
Calculated density (kg/m³): 6985
Energy of formation (eV/atom): 0.53
Energy (eV/atom): -20.207

---

No. 2
Entry from Alexandria via LeMat-Bulk: La3AlCrS7 at its PBEsol-relaxed geometry (meta-GGA SCAN). Values from VASP.

The structure in Quantum ESPRESSO input format:
```
&SYSTEM
  ibrav = 0, nat = 24, ntyp = 4
/
ATOMIC_SPECIES
Cr 52.00 Cr.upf
S 32.06 S.upf
La 138.91 La.upf
Al 26.98 Al.upf
ATOMIC_POSITIONS angstrom
Cr 5.756 0.000 0.000
Cr 2.807 0.000 0.000
S 5.771 -0.339 7.892
S 1.331 1.873 0.738
S 1.331 4.759 6.767
S 5.771 -1.609 4.519
S 5.661 5.057 2.919
S 2.821 5.395 0.866
S 4.281 -3.481 7.505
S 4.281 0.298 1.991
S 2.711 0.000 5.839
S 2.821 3.109 3.653
S 5.771 1.947 5.106
S 4.281 3.183 8.021
S 2.821 6.665 4.239
S 1.331 8.538 1.253
La 4.437 4.565 5.495
La 1.487 -2.476 6.701
La 4.437 3.072 1.206
La 1.487 1.985 7.552
La 1.487 0.491 3.263
La 4.437 7.533 2.057
Al 1.967 5.057 2.919
Al 4.916 0.000 5.839
CELL_PARAMETERS angstrom
5.900 0.000 0.000
0.000 10.113 0.000
0.000 -5.057 8.758
```

Output
Fermi-level density of states (states/eV/atom): 0.07
Total magnetic moment (Bohr magnetons per cell): 8.0
Calculated density (kg/m³): 4577
Energy (eV/atom): -20.595

---

No. 3
Entry from Alexandria via LeMat-Bulk: La2TaAlCr at its PBEsol-relaxed geometry (meta-GGA SCAN). Values from VASP.

The structure in Quantum ESPRESSO input format:
```
&SYSTEM
  ibrav = 0, nat = 5, ntyp = 4
/
ATOMIC_SPECIES
La 138.91 La.upf
Cr 52.00 Cr.upf
Ta 180.95 Ta.upf
Al 26.98 Al.upf
ATOMIC_POSITIONS angstrom
La 0.000 2.797 0.000
La 0.000 0.000 2.797
Cr 2.416 2.797 2.797
Ta 2.416 0.000 0.000
Al 0.000 0.000 0.000
CELL_PARAMETERS angstrom
4.832 0.000 0.000
0.000 5.594 0.000
0.000 0.000 5.594
```

Output
Fermi-level density of states (states/eV/atom): 1.08
Total magnetic moment (Bohr magnetons per cell): 4.3
Calculated density (kg/m³): 5907
Energy of formation (eV/atom): 0.94
Energy (eV/atom): -34.842

---

No. 4
Entry from Alexandria via LeMat-Bulk: LiAl2Cr at its PBEsol-relaxed geometry (meta-GGA SCAN). Values from VASP.

The structure in Quantum ESPRESSO input format:
```
&SYSTEM
  ibrav = 0, nat = 4, ntyp = 3
/
ATOMIC_SPECIES
Cr 52.00 Cr.upf
Al 26.98 Al.upf
Li 6.94 Li.upf
ATOMIC_POSITIONS angstrom
Cr 1.371 0.000 0.000
Al 0.000 -0.043 2.195
Al 0.000 2.196 0.028
Li 1.371 2.152 2.224
CELL_PARAMETERS angstrom
2.742 0.000 0.000
0.000 4.391 0.057
0.000 -0.086 4.391
```

Output
Fermi-level density of states (states/eV/atom): 0.39
Total magnetic moment (Bohr magnetons per cell): 2.6
Calculated density (kg/m³): 3545
Energy of formation (eV/atom): -0.14
Energy (eV/atom): -9.211

---

No. 5
Entry from Alexandria via LeMat-Bulk: Li2AlCr at its PBEsol-relaxed geometry (meta-GGA SCAN). Values from VASP.

The structure in Quantum ESPRESSO input format:
```
&SYSTEM
  ibrav = 0, nat = 4, ntyp = 3
/
ATOMIC_SPECIES
Al 26.98 Al.upf
Li 6.94 Li.upf
Cr 52.00 Cr.upf
ATOMIC_POSITIONS angstrom
Al -0.743 -1.411 -2.144
Li 2.064 -1.266 -1.547
Li 0.542 -2.822 0.004
Cr 0.000 0.000 0.000
CELL_PARAMETERS angstrom
-2.265 -2.966 -0.594
0.780 0.145 -3.695
4.091 -1.266 2.746
```

Output
Fermi-level density of states (states/eV/atom): 0.34
Total magnetic moment (Bohr magnetons per cell): 4.2
Calculated density (kg/m³): 2494
Energy of formation (eV/atom): 0.01
Energy (eV/atom): -7.724

---

No. 6
Entry from Alexandria via LeMat-Bulk: LiAl2Cr at its PBEsol-relaxed geometry (meta-GGA SCAN). Values from VASP.

The structure in Quantum ESPRESSO input format:
```
&SYSTEM
  ibrav = 0, nat = 4, ntyp = 3
/
ATOMIC_SPECIES
Cr 52.00 Cr.upf
Al 26.98 Al.upf
Li 6.94 Li.upf
ATOMIC_POSITIONS angstrom
Cr 0.015 -2.124 -1.347
Al 1.315 -2.179 1.102
Al 0.000 0.000 0.000
Li 2.476 -0.978 -0.778
CELL_PARAMETERS angstrom
-1.146 -3.326 0.533
1.177 -0.923 -3.228
3.760 1.092 3.019
```

Output
Fermi-level density of states (states/eV/atom): 0.28
Total magnetic moment (Bohr magnetons per cell): 1.0
Calculated density (kg/m³): 3480
Energy of formation (eV/atom): 0.03
Energy (eV/atom): -9.044